This record from Alexandria describes MnSi2Mo after structural relaxation. The functional is PBE-GGA.

## Properties
Magnetization: 2.3 μB/cell
Formation energy from raw total energies: -0.1384 eV per atom

a = 4.199 Å, b = 4.199 Å, c = 4.199 Å
α = 120.02°, β = 120.02°, γ = 89.96°
Last column: magnetic moment on the atom in μB.
Sites, in units of the cell vectors:
Si: 0.500 0.500 0.000  -0.05
Si: 0.000 0.000 0.000  -0.05
Mo: 0.750 0.250 0.500  0.24
Mn: 0.250 0.750 0.500  2.04

***

This record from Alexandria describes TaInW2 after structural relaxation. The functional is PBE-GGA.

## Properties
Magnetization: 0.0 μB/cell
Formation energy: 0.28 eV per atom

a = 5.396 Å, b = 5.396 Å, c = 4.600 Å
α = 64.77°, β = 64.77°, γ = 36.35°
Sites, in units of the cell vectors:
W: 0.007 0.007 0.993
W: 0.733 0.733 0.767
In: 0.495 0.495 0.505
Ta: 0.265 0.265 0.235

***

Question: Which of these has the lowest magnetization?
Answer: TaInW2